1.
## P2PdPt (GGA-PBEsol)

Data for an optimized crystal structure of P2PdPt.

Cell lengths 5.398, 5.398, 10.206 Å; angles 90.00, 90.00, 90.00 degrees
Positions (direct):
1 P 0.246 0.250 0.125
2 P 0.250 0.746 0.375
3 P 0.250 0.754 0.875
4 P 0.254 0.250 0.625
5 P 0.746 0.750 0.625
6 P 0.750 0.246 0.875
7 P 0.750 0.254 0.375
8 P 0.754 0.750 0.125
9 Pd 0.000 0.000 0.500
10 Pd 0.000 0.500 0.750
11 Pd 0.500 0.000 0.250
12 Pd 0.500 0.500 0.000
13 Pt 0.000 0.000 0.000
14 Pt 0.000 0.500 0.250
15 Pt 0.500 0.000 0.750
16 Pt 0.500 0.500 0.500

## Properties
* calculated density: 8.12 g cm⁻³
* raw total energy: -101.4 eV/cell
* SG: I-42d (122)

***

2.
## PPd3Pt (GGA-PBEsol)

Data for an optimized crystal structure of PPd3Pt.

Cell lengths 4.352, 4.352, 4.352 Å; angles 90.00, 90.00, 90.00 degrees
Positions (direct):
1 P 0.000 0.000 0.000
2 Pd 0.000 0.000 0.500
3 Pd 0.000 0.500 0.000
4 Pd 0.500 0.000 0.000
5 Pt 0.500 0.500 0.500

## Properties
* calculated density: 10.98 g cm⁻³
* raw total energy: -29.7 eV/cell
* SG: Pm-3m (221)

***

3.
## Rb2P2Pd (GGA-PBEsol)

Data for an optimized crystal structure of Rb2P2Pd.

Cell lengths 7.916, 7.916, 5.953 Å; angles 90.00, 90.00, 131.61 degrees
Positions (direct):
1 Rb 0.079 0.921 0.750
2 Rb 0.288 0.712 0.250
3 Rb 0.712 0.288 0.750
4 Rb 0.921 0.079 0.250
5 P 0.226 0.439 0.750
6 P 0.439 0.226 0.250
7 P 0.561 0.774 0.750
8 P 0.774 0.561 0.250
9 Pd 0.500 0.500 0.000
10 Pd 0.500 0.500 0.500

## Properties
* calculated density: 4.04 g cm⁻³
* raw total energy: -44.2 eV/cell
* SG: Cmcm (63)

***

4.
## Rb2TcPPd (GGA-PBEsol)

Data for an optimized crystal structure of Rb2TcPPd.

Cell lengths 6.480, 6.480, 4.322 Å; angles 90.00, 90.00, 90.00 degrees
Positions (direct):
1 Rb 0.000 0.500 0.000
2 Rb 0.500 0.000 0.000
3 Tc 0.000 0.000 0.500
4 P 0.500 0.500 0.000
5 Pd 0.500 0.500 0.500

## Properties
* calculated density: 3.72 g cm⁻³
* raw total energy: -19.6 eV/cell
* SG: P4/mmm (123)

***

5.
## Re3PPd (GGA-PBEsol)

Data for an optimized crystal structure of Re3PPd.

Cell lengths 4.624, 4.624, 4.624 Å; angles 90.00, 90.00, 90.00 degrees
Positions (direct):
1 Re 0.000 0.000 0.500
2 Re 0.000 0.500 0.000
3 Re 0.500 0.000 0.000
4 P 0.500 0.500 0.500
5 Pd 0.000 0.000 0.000

## Properties
* calculated density: 11.69 g cm⁻³
* raw total energy: -37.0 eV/cell
* SG: Pm-3m (221)

***

6.
## TcPPd2Rh (GGA-PBEsol)

Data for an optimized crystal structure of TcPPd2Rh.

Cell lengths 4.406, 4.406, 4.319 Å; angles 90.00, 90.00, 90.00 degrees
Positions (direct):
1 Tc 0.000 0.000 0.000
2 P 0.500 0.500 0.500
3 Pd 0.000 0.500 0.500
4 Pd 0.500 0.000 0.500
5 Rh 0.500 0.500 0.000

## Properties
* calculated density: 8.81 g cm⁻³
* raw total energy: -34.5 eV/cell
* SG: P4/mmm (123)

***

7.
## Ta2PPdRu (GGA-PBEsol)

Data for an optimized crystal structure of Ta2PPdRu.

Cell lengths 4.533, 4.533, 4.230 Å; angles 90.00, 90.00, 90.00 degrees
Positions (direct):
1 Ta 0.000 0.500 0.000
2 Ta 0.500 0.000 0.000
3 P 0.000 0.000 0.000
4 Pd 0.000 0.000 0.500
5 Ru 0.500 0.500 0.500

## Properties
* calculated density: 11.47 g cm⁻³
* raw total energy: -44.6 eV/cell
* SG: P4/mmm (123)

***

8.
## P2Pd3S8 (GGA-PBEsol)

Data for an optimized crystal structure of P2Pd3S8.

Cell lengths 6.867, 6.867, 7.241 Å; angles 90.00, 90.00, 120.00 degrees
Positions (direct):
1 P 0.333 0.667 0.333
2 P 0.667 0.333 0.667
3 Pd 0.000 0.500 0.000
4 Pd 0.500 0.000 0.000
5 Pd 0.500 0.500 0.000
6 S 0.180 0.359 0.183
7 S 0.180 0.820 0.183
8 S 0.333 0.667 0.597
9 S 0.359 0.180 0.817
10 S 0.641 0.820 0.183
11 S 0.667 0.333 0.403
12 S 0.820 0.180 0.817
13 S 0.820 0.641 0.817

## Properties
* calculated density: 3.58 g cm⁻³
* formation energy from raw total energies: -338 meV per atom
* SG: P-3m1 (164)

***

9.
## SiPPdS2 (GGA-PBEsol)

Data for an optimized crystal structure of SiPPdS2.

Cell lengths 4.385, 4.385, 4.466 Å; angles 90.00, 90.00, 90.00 degrees
Positions (direct):
1 Si 0.000 0.000 0.000
2 P 0.000 0.000 0.500
3 Pd 0.500 0.500 0.000
4 S 0.000 0.500 0.500
5 S 0.500 0.000 0.500

## Properties
* calculated density: 4.44 g cm⁻³
* formation energy from raw total energies: 604 meV per atom
* SG: P4/mmm (123)

***

10.
## SiP2PdS (GGA-PBEsol)

Data for an optimized crystal structure of SiP2PdS.

Cell lengths 4.517, 4.517, 4.829 Å; angles 90.00, 90.00, 90.00 degrees
Positions (direct):
1 Si 0.000 0.000 0.000
2 P 0.000 0.500 0.500
3 P 0.500 0.000 0.500
4 Pd 0.500 0.500 0.500
5 S 0.500 0.500 0.000

## Properties
* calculated density: 3.85 g cm⁻³
* formation energy from raw total energies: 871 meV per atom
* SG: P4/mmm (123)

***

11.
## SnPPdS2 (GGA-PBEsol)

Data for an optimized crystal structure of SnPPdS2.

Cell lengths 4.843, 4.843, 4.981 Å; angles 90.00, 90.00, 90.00 degrees
Positions (direct):
1 Sn 0.000 0.000 0.000
2 P 0.000 0.000 0.500
3 Pd 0.500 0.500 0.500
4 S 0.000 0.500 0.000
5 S 0.500 0.000 0.000

## Properties
* calculated density: 4.55 g cm⁻³
* formation energy from raw total energies: 1029 meV per atom
* SG: P4/mmm (123)

***

12.
## YP2PdS (GGA-PBEsol)

Data for an optimized crystal structure of YP2PdS.

Cell lengths 5.150, 5.150, 4.990 Å; angles 90.00, 90.00, 90.00 degrees
Positions (direct):
1 Y 0.000 0.000 0.000
2 P 0.000 0.500 0.000
3 P 0.500 0.000 0.000
4 Pd 0.500 0.500 0.500
5 S 0.000 0.000 0.500

## Properties
* calculated density: 3.63 g cm⁻³
* formation energy from raw total energies: 787 meV per atom
* SG: P4/mmm (123)

***

13.
## SbP2Pd (GGA-PBEsol)

Data for an optimized crystal structure of SbP2Pd.

Cell lengths 5.606, 5.606, 11.274 Å; angles 90.00, 90.00, 90.00 degrees
Positions (direct):
1 Sb 0.000 0.000 0.000
2 Sb 0.000 0.500 0.250
3 Sb 0.500 0.000 0.750
4 Sb 0.500 0.500 0.500
5 P 0.207 0.250 0.625
6 P 0.250 0.707 0.875
7 P 0.250 0.793 0.375
8 P 0.293 0.250 0.125
9 P 0.707 0.750 0.125
10 P 0.750 0.207 0.375
11 P 0.750 0.293 0.875
12 P 0.793 0.750 0.625
13 Pd 0.000 0.000 0.500
14 Pd 0.000 0.500 0.750
15 Pd 0.500 0.000 0.250
16 Pd 0.500 0.500 0.000

## Properties
* calculated density: 5.44 g cm⁻³
* formation energy from raw total energies: -5 meV per atom
* SG: I-42d (122)

***

14.
## SbPPd3 (GGA-PBEsol)

Data for an optimized crystal structure of SbPPd3.

Cell lengths 4.813, 4.813, 4.813 Å; angles 90.00, 90.00, 90.00 degrees
Positions (direct):
1 Sb 0.000 0.000 0.000
2 P 0.500 0.500 0.500
3 Pd 0.000 0.000 0.500
4 Pd 0.000 0.500 0.000
5 Pd 0.500 0.000 0.000

## Properties
* calculated density: 7.03 g cm⁻³
* formation energy from raw total energies: 865 meV per atom
* SG: Pm-3m (221)

***

15.
## SbPPd2 (GGA-PBEsol)

Data for an optimized crystal structure of SbPPd2.

Cell lengths 4.508, 4.508, 14.986 Å; angles 90.00, 90.00, 90.00 degrees
Positions (direct):
1 Sb 0.000 0.000 0.000
2 Sb 0.000 0.500 0.250
3 Sb 0.500 0.000 0.750
4 Sb 0.500 0.500 0.500
5 P 0.000 0.000 0.500
6 P 0.000 0.500 0.750
7 P 0.500 0.000 0.250
8 P 0.500 0.500 0.000
9 Pd 0.177 0.250 0.625
10 Pd 0.250 0.677 0.875
11 Pd 0.250 0.823 0.375
12 Pd 0.323 0.250 0.125
13 Pd 0.677 0.750 0.125
14 Pd 0.750 0.177 0.375
15 Pd 0.750 0.323 0.875
16 Pd 0.823 0.750 0.625

## Properties
* calculated density: 7.97 g cm⁻³
* formation energy from raw total energies: -267 meV per atom
* SG: I-42d (122)

***

16.
## P3PdSe (GGA-PBEsol)

Data for an optimized crystal structure of P3PdSe.

Cell lengths 4.605, 4.605, 4.605 Å; angles 90.00, 90.00, 90.00 degrees
Positions (direct):
1 P 0.000 0.000 0.500
2 P 0.000 0.500 0.000
3 P 0.500 0.000 0.000
4 Pd 0.000 0.000 0.000
5 Se 0.500 0.500 0.500

## Properties
* calculated density: 4.73 g cm⁻³
* formation energy from raw total energies: 845 meV per atom
* SG: Pm-3m (221)

***

17.
## SiPPd2 (GGA-PBEsol)

Data for an optimized crystal structure of SiPPd2.

Cell lengths 5.723, 5.723, 9.056 Å; angles 90.00, 90.00, 90.00 degrees
Positions (direct):
1 Si 0.000 0.000 0.000
2 Si 0.000 0.500 0.250
3 Si 0.500 0.000 0.750
4 Si 0.500 0.500 0.500
5 P 0.000 0.000 0.500
6 P 0.000 0.500 0.750
7 P 0.500 0.000 0.250
8 P 0.500 0.500 0.000
9 Pd 0.241 0.750 0.625
10 Pd 0.250 0.241 0.375
11 Pd 0.250 0.259 0.875
12 Pd 0.259 0.750 0.125
13 Pd 0.741 0.250 0.125
14 Pd 0.750 0.741 0.875
15 Pd 0.750 0.759 0.375
16 Pd 0.759 0.250 0.625

## Properties
* calculated density: 6.09 g cm⁻³
* formation energy from raw total energies: -71 meV per atom
* SG: I-42d (122)

***

18.
## SmP2Pd2 (GGA-PBEsol)

Data for an optimized crystal structure of SmP2Pd2.

Cell lengths 4.073, 4.073, 9.843 Å; angles 90.00, 90.00, 90.00 degrees
Positions (direct):
1 Sm 0.000 0.000 0.000
2 Sm 0.500 0.500 0.500
3 P 0.000 0.000 0.388
4 P 0.000 0.000 0.612
5 P 0.500 0.500 0.112
6 P 0.500 0.500 0.888
7 Pd 0.000 0.500 0.250
8 Pd 0.000 0.500 0.750
9 Pd 0.500 0.000 0.250
10 Pd 0.500 0.000 0.750

## Properties
* calculated density: 8.65 g cm⁻³
* raw total energy: -67.5 eV/cell
* SG: I4/mmm (139)

***

19.
## SrPPd3 (GGA-PBEsol)

Data for an optimized crystal structure of SrPPd3.

Cell lengths 4.584, 4.584, 4.584 Å; angles 90.00, 90.00, 90.00 degrees
Positions (direct):
1 Sr 0.000 0.000 0.000
2 P 0.500 0.500 0.500
3 Pd 0.000 0.500 0.500
4 Pd 0.500 0.000 0.500
5 Pd 0.500 0.500 0.000

## Properties
* calculated density: 7.55 g cm⁻³
* raw total energy: -28.8 eV/cell
* SG: Pm-3m (221)

***

20.
## Sr2P3Pd3 (GGA-PBEsol)

Data for an optimized crystal structure of Sr2P3Pd3.

Cell lengths 17.260, 17.260, 17.260 Å; angles 166.16, 166.03, 19.71 degrees
Positions (direct):
1 Sr 0.073 0.073 0.000
2 Sr 0.177 0.677 0.500
3 Sr 0.823 0.323 0.500
4 Sr 0.927 0.927 0.000
5 P 0.288 0.788 0.500
6 P 0.355 0.855 0.500
7 P 0.460 0.460 0.000
8 P 0.540 0.540 0.000
9 P 0.645 0.145 0.500
10 P 0.712 0.212 0.500
11 Pd 0.000 0.500 0.500
12 Pd 0.251 0.251 0.000
13 Pd 0.390 0.390 0.000
14 Pd 0.500 0.000 0.500
15 Pd 0.610 0.610 0.000
16 Pd 0.749 0.749 0.000

## Properties
* calculated density: 6.57 g cm⁻³
* raw total energy: -93.1 eV/cell
* SG: Immm (71)

***

21.
## Sr2PPd2 (GGA-PBEsol)

Data for an optimized crystal structure of Sr2PPd2.

Cell lengths 3.701, 3.701, 17.129 Å; angles 90.00, 90.00, 90.00 degrees
Positions (direct):
1 Sr 0.000 0.000 0.102
2 Sr 0.000 0.000 0.898
3 Sr 0.500 0.500 0.398
4 Sr 0.500 0.500 0.602
5 P 0.000 0.000 0.500
6 P 0.500 0.500 0.000
7 Pd 0.000 0.500 0.250
8 Pd 0.000 0.500 0.750
9 Pd 0.500 0.000 0.250
10 Pd 0.500 0.000 0.750

## Properties
* calculated density: 5.93 g cm⁻³
* raw total energy: -48.0 eV/cell
* SG: I4/mmm (139)

***

22.
## SrP3Pd (GGA-PBEsol)

Data for an optimized crystal structure of SrP3Pd.

Cell lengths 4.735, 4.735, 4.735 Å; angles 90.00, 90.00, 90.00 degrees
Positions (direct):
1 Sr 0.000 0.000 0.000
2 P 0.000 0.500 0.500
3 P 0.500 0.000 0.500
4 P 0.500 0.500 0.000
5 Pd 0.500 0.500 0.500

## Properties
* calculated density: 4.49 g cm⁻³
* raw total energy: -25.2 eV/cell
* SG: Pm-3m (221)

***

23.
## Sr2P2Pd (GGA-PBEsol)

Data for an optimized crystal structure of Sr2P2Pd.

Cell lengths 5.917, 5.917, 7.068 Å; angles 90.00, 90.00, 90.00 degrees
Positions (direct):
1 Sr 0.000 0.500 0.250
2 Sr 0.000 0.500 0.750
3 Sr 0.500 0.000 0.250
4 Sr 0.500 0.000 0.750
5 P 0.000 0.000 0.168
6 P 0.000 0.000 0.832
7 P 0.500 0.500 0.332
8 P 0.500 0.500 0.668
9 Pd 0.000 0.000 0.500
10 Pd 0.500 0.500 0.000

## Properties
* calculated density: 4.61 g cm⁻³
* raw total energy: -48.0 eV/cell
* SG: I4/mmm (139)

***

24.
## TaP2Pd (GGA-PBEsol)

Data for an optimized crystal structure of TaP2Pd.

Cell lengths 5.552, 5.552, 10.337 Å; angles 90.00, 90.00, 90.00 degrees
Positions (direct):
1 Ta 0.000 0.000 0.000
2 Ta 0.000 0.500 0.250
3 Ta 0.500 0.000 0.750
4 Ta 0.500 0.500 0.500
5 P 0.240 0.250 0.625
6 P 0.250 0.740 0.875
7 P 0.250 0.760 0.375
8 P 0.260 0.250 0.125
9 P 0.740 0.750 0.125
10 P 0.750 0.240 0.375
11 P 0.750 0.260 0.875
12 P 0.760 0.750 0.625
13 Pd 0.000 0.000 0.500
14 Pd 0.000 0.500 0.750
15 Pd 0.500 0.000 0.250
16 Pd 0.500 0.500 0.000

## Properties
* calculated density: 7.28 g cm⁻³
* raw total energy: -121.9 eV/cell
* SG: I-42d (122)

***

25.
## TaPPd2 (GGA-PBEsol)

Data for an optimized crystal structure of TaPPd2.

Cell lengths 3.672, 3.672, 18.479 Å; angles 90.00, 90.00, 90.00 degrees
Positions (direct):
1 Ta 0.000 0.000 0.000
2 Ta 0.000 0.500 0.250
3 Ta 0.500 0.000 0.750
4 Ta 0.500 0.500 0.500
5 P 0.000 0.000 0.500
6 P 0.000 0.500 0.750
7 P 0.500 0.000 0.250
8 P 0.500 0.500 0.000
9 Pd 0.243 0.250 0.625
10 Pd 0.250 0.743 0.875
11 Pd 0.250 0.757 0.375
12 Pd 0.257 0.250 0.125
13 Pd 0.743 0.750 0.125
14 Pd 0.750 0.243 0.375
15 Pd 0.750 0.257 0.875
16 Pd 0.757 0.750 0.625

## Properties
* calculated density: 11.32 g cm⁻³
* raw total energy: -124.3 eV/cell
* SG: I-42d (122)

***

26.
## TcPPd3 (GGA-PBEsol)

Data for an optimized crystal structure of TcPPd3.

Cell lengths 4.408, 4.408, 4.408 Å; angles 90.00, 90.00, 90.00 degrees
Positions (direct):
1 Tc 0.000 0.000 0.000
2 P 0.500 0.500 0.500
3 Pd 0.000 0.500 0.500
4 Pd 0.500 0.000 0.500
5 Pd 0.500 0.500 0.000

## Properties
* calculated density: 8.69 g cm⁻³
* raw total energy: -32.6 eV/cell
* SG: Pm-3m (221)

***

no.,magnetic moment (μB per formula unit)
1,0.00
2,0.00
3,0.00
4,4.49
5,0.01
6,4.59
7,0.40
8,0.00
9,0.00
10,0.01
11,0.01
12,0.00
13,0.00
14,0.00
15,0.00
16,0.00
17,0.00
18,0.00
19,0.00
20,0.00
21,0.00
22,0.00
23,0.00
24,0.00
25,0.00
26,4.23